Below is a relaxed structure of KTlGa2, with properties calculated at the GGA-PBE level.

Results
* spin magnetization: 0.00 μB per formula unit
* E_tot: -18.1 eV for the cell shown
* DFT formation energy: 0.472 eV per formula unit
* energy above the most stable polymorph in this dataset: 219 meV per atom
* space-group type: I-42d, No. 122

```
data_KTlGa2
_symmetry_space_group_name_H-M 'P 1'
_symmetry_Int_Tables_number 1
_symmetry_space_group_name_Hall 'P 1'
_cell_length_a 10.987
_cell_length_b 10.987
_cell_length_c 10.987
_cell_angle_alpha 153.17
_cell_angle_beta 153.17
_cell_angle_gamma 38.31
loop_
_atom_site_label
_atom_site_type_symbol
_atom_site_fract_x
_atom_site_fract_y
_atom_site_fract_z
K1 K 0.000 0.000 0.000
K2 K 0.750 0.250 0.500
Tl1 Tl 0.250 0.750 0.500
Tl2 Tl 0.500 0.500 0.000
Ga1 Ga 0.299 0.625 0.174
Ga2 Ga 0.375 0.549 0.674
Ga3 Ga 0.451 0.125 0.826
Ga4 Ga 0.875 0.701 0.326
```